CaNdPt2 | PBE | relaxed

Lattice parameters (Å, degrees): 4.110 4.110 7.416 73.91 73.91 60.00
Fractional coordinates of all 4 atoms:
Ca1 0.497 0.497 0.509
Nd1 0.669 0.669 0.994
Pt1 0.085 0.085 0.746
Pt2 0.249 0.249 0.252

Properties
- space-group type = R3m
- energy above the lowest structure with this stoichiometry (eV/atom) = 0.183
- DOS at the Fermi energy (states/eV/atom) = 0.610